The following is a PBE with a Hubbard U calculation of a relaxed CeVO6 crystal, from Alexandria via LeMat-Bulk.

abc: 5.802 5.802 5.802
angles: 60.00 60.00 60.00
Sites, in units of the cell vectors:
Ce  0.000  0.000  0.000
V  0.500  0.500  0.500
O  0.273  0.273  0.727
O  0.273  0.727  0.273
O  0.273  0.727  0.727
O  0.727  0.273  0.273
O  0.727  0.273  0.727
O  0.727  0.727  0.273

Results
Space-group type = Fm-3m
Density of states at the Fermi level = 0.582 states/eV per atom
Total energy = -6.9567 eV/atom